# TbSm2In3Se6 (PBE-GGA, optimized geometry)
data_TbSm2In3Se6
_chemical_formula_sum 'Tb2 Sm4 In6 Se12'
_cell_length_a 7.2979
_cell_length_b 12.6400
_cell_length_c 8.1048
_cell_angle_alpha 90.00
_cell_angle_beta 107.46
_cell_angle_gamma 90.00
_space_group_name_H-M_alt 'C 1 2/m 1'
_space_group_IT_number 12
_space_group_name_Hall '-C 2y'
loop_
_atom_site_label
_atom_site_type_symbol
_atom_site_fract_x
_atom_site_fract_y
_atom_site_fract_z
Tb1 Tb 0.0000 0.0000 0.0000
Sm1 Sm 0.0000 0.3334 0.0000
In1 In 0.0000 0.1675 0.5000
In2 In 0.0000 0.5000 0.5000
Se1 Se 0.2350 0.1645 0.2114
Se2 Se 0.2418 0.5000 0.2126
# size of the total moment: 0.00 μB per cell
# uncorrected formation energy: -1299 meV/atom